A relaxed Ac3NbSe6 crystal, computed with PBE-GGA.

Total DFT energy (no corrections) ... -5.91 eV/atom
Formation energy without anion corrections ... -1.579 eV per atom
N(E_F) ... 12.5 states/eV/cell

Unit cell a=7.216 b=7.923 c=12.478 alpha=90.00 beta=121.56 gamma=90.00
Element x y z (fractional)
Ac (0.000, 0.000, 0.000)
Ac (0.000, 0.500, 0.500)
Ac (0.303, 0.102, 0.759)
Ac (0.303, 0.398, 0.259)
Ac (0.697, 0.602, 0.741)
Ac (0.697, 0.898, 0.241)
Nb (0.500, 0.000, 0.500)
Nb (0.500, 0.500, 0.000)
Se (0.135, 0.039, 0.274)
Se (0.135, 0.461, 0.774)
Se (0.262, 0.674, 0.069)
Se (0.262, 0.826, 0.569)
Se (0.407, 0.200, 0.065)
Se (0.407, 0.300, 0.565)
Se (0.593, 0.700, 0.435)
Se (0.593, 0.800, 0.935)
Se (0.738, 0.174, 0.431)
Se (0.738, 0.326, 0.931)
Se (0.865, 0.539, 0.226)
Se (0.865, 0.961, 0.726)

A relaxed AcNbSe4 crystal, computed with PBE-GGA.

Total DFT energy (no corrections) ... -5.81 eV/atom
Formation energy without anion corrections ... -1.126 eV per atom
N(E_F) ... 2.3 states/eV/cell

Unit cell a=9.345 b=9.345 c=7.317 alpha=90.00 beta=90.00 gamma=148.36
Element x y z (fractional)
Ac (0.154, 0.846, 0.500)
Ac (0.846, 0.154, 0.000)
Nb (0.404, 0.596, 0.577)
Nb (0.596, 0.404, 0.077)
Se (0.087, 0.913, 0.099)
Se (0.286, 0.714, 0.790)
Se (0.337, 0.663, 0.289)
Se (0.462, 0.538, 0.950)
Se (0.538, 0.462, 0.450)
Se (0.663, 0.337, 0.789)
Se (0.714, 0.286, 0.290)
Se (0.913, 0.087, 0.599)